[1]
{"formula": "NaNiHgSb", "functional": "PBE", "state": "optimized geometry", "e_above_lowest_polymorph_ev_per_atom": 0.1014, "lattice": [[4.5359, -1.0210, 1.3984], [2.5879, 3.3015, 2.4445], [0.9934, -0.6902, 4.7020]], "species": ["Hg", "Na", "Ni", "Sb"], "fractional_positions": [[0.0000, 0.0000, 0.0000], [0.7500, 0.7500, 0.7500], [0.5000, 0.5000, 0.5000], [0.2500, 0.2500, 0.2500]]}

***

[2]
{"formula": "LuMoPt2", "functional": "PBE", "state": "optimized geometry", "delta_e_f_ev_per_atom": -0.31, "lattice": [[3.2736, -2.5251, -2.0162], [2.0886, -3.3578, 2.3496], [-0.8163, -4.4007, -1.0609]], "species": ["Lu", "Mo", "Pt", "Pt"], "fractional_positions": [[0.7500, 0.7500, 0.7500], [0.0000, 0.0000, 0.0000], [0.2500, 0.2500, 0.2500], [0.5000, 0.5000, 0.5000]]}

***

[3]
{"formula": "Cs2Hg2Te3", "functional": "PBE", "state": "optimized geometry", "e_above_lowest_polymorph_ev_per_atom": 0.1138, "lattice": [[3.4766, 2.0072, 6.8680], [-3.4766, 2.0072, 6.8680], [0.0000, -4.0145, 6.8680]], "species": ["Cs", "Cs", "Hg", "Hg", "Te", "Te", "Te"], "fractional_positions": [[0.0000, 0.0000, 0.0000], [0.5000, 0.5000, 0.5000], [0.3118, 0.3118, 0.3118], [0.6882, 0.6882, 0.6882], [0.5000, 0.0000, 0.0000], [0.0000, 0.5000, 0.0000], [0.0000, 0.0000, 0.5000]]}

***

[4]
{"formula": "DyCdNO", "functional": "PBE", "state": "optimized geometry", "e_above_lowest_polymorph_ev_per_atom": 0.0596, "lattice": [[-1.8472, -3.1994, 0.0000], [0.0000, 0.0000, 5.9349], [-5.4348, 3.1378, 0.0000]], "species": ["Cd", "Cd", "Dy", "Dy", "N", "N", "O", "O"], "fractional_positions": [[0.0000, 0.5069, 0.3494], [0.0000, 0.0069, 0.6506], [0.5000, 0.0015, 0.1725], [0.5000, 0.5015, 0.8275], [0.0000, 0.8751, 0.3222], [0.0000, 0.3751, 0.6778], [0.5000, 0.3704, 0.1519], [0.5000, 0.8704, 0.8481]]}

***

[5]
{"formula": "BaBeNiPb", "functional": "PBE", "state": "optimized geometry", "e_above_lowest_polymorph_ev_per_atom": 0.2130, "lattice": [[3.0772, 0.8233, 4.0451], [-1.4988, -1.4410, 4.7102], [2.3036, -3.9702, 2.3324]], "species": ["Ba", "Be", "Ni", "Pb"], "fractional_positions": [[0.2500, 0.2500, 0.2500], [0.7500, 0.7500, 0.7500], [0.5000, 0.5000, 0.5000], [0.0000, 0.0000, 0.0000]]}

***

[6]
{"formula": "IrPd2W", "functional": "PBE", "state": "optimized geometry", "delta_e_f_ev_per_atom": -0.09, "e_above_lowest_polymorph_ev_per_atom": 0.0048, "lattice": [[4.4960, 0.0000, 0.0000], [0.0000, 4.7692, 2.7869], [0.0000, -4.7692, 2.7869]], "species": ["Ir", "Ir", "Pd", "Pd", "Pd", "Pd", "W", "W"], "fractional_positions": [[0.2500, 0.8311, 0.6526], [0.7500, 0.6526, 0.8311], [0.2500, 0.8357, 0.1652], [0.2500, 0.3397, 0.1657], [0.7500, 0.1657, 0.3397], [0.7500, 0.1652, 0.8357], [0.7500, 0.6692, 0.3409], [0.2500, 0.3409, 0.6692]]}

***

[7]
{"formula": "HfSc2Au2", "functional": "PBE", "state": "optimized geometry", "delta_e_f_ev_per_atom": -0.22, "lattice": [[3.0679, -3.0679, 0.0000], [3.0679, 3.0679, 0.0000], [-3.0679, 0.0000, 5.7385]], "species": ["Au", "Au", "Hf", "Sc", "Sc"], "fractional_positions": [[0.6117, 0.6117, 0.2234], [0.3883, 0.3883, 0.7766], [0.0000, 0.0000, 0.0000], [0.7500, 0.2500, 0.5000], [0.2500, 0.7500, 0.5000]]}

***

[8]
{"formula": "Nd3SiPt4", "functional": "PBE", "state": "optimized geometry", "energy_ha_per_atom": -0.23570, "lattice": [[5.9051, 0.0000, 0.0000], [0.0000, 4.1230, 0.0000], [-0.3214, 0.0000, 7.2961]], "species": ["Nd", "Nd", "Nd", "Pt", "Pt", "Pt", "Pt", "Si"], "fractional_positions": [[0.3715, 0.0000, 0.1694], [0.1226, 0.0000, 0.6652], [0.6343, 0.5000, 0.8041], [0.8596, 0.0000, 0.1312], [0.3089, 0.5000, 0.4413], [0.6733, 0.0000, 0.5003], [0.1369, 0.5000, 0.9548], [0.8928, 0.5000, 0.3338]]}

***

[9]
{"formula": "Tm2ZnCoNi", "functional": "PBE", "state": "optimized geometry", "delta_e_f_ev_per_atom": -0.43, "lattice": [[-2.0332, 4.0140, 2.7166], [2.0332, -4.0140, 2.7166], [2.0332, 4.0140, -2.7166]], "species": ["Co", "Ni", "Tm", "Tm", "Zn"], "fractional_positions": [[0.7776, 0.7776, 0.0000], [0.2244, 0.2244, 0.0000], [0.7915, 0.4963, 0.2953], [0.2010, 0.4963, 0.7047], [0.5055, 0.0055, 0.5000]]}

***

[10]
{"formula": "LaPmI2O2", "functional": "PBE", "state": "optimized geometry", "energy_ha_per_atom": -0.23958, "lattice": [[-1.3362, -3.6388, -1.3209], [3.0095, -1.8554, 2.0668], [-5.4956, -0.6687, 7.4018]], "species": ["I", "I", "La", "O", "O", "Pm"], "fractional_positions": [[0.0000, 0.0000, 0.3316], [0.5000, 0.5000, 0.6700], [0.5000, 0.5000, 0.1284], [0.5000, 0.0000, 0.9975], [0.0000, 0.5000, 0.9975], [0.0000, 0.0000, 0.8750]]}

***

[11]
{"formula": "LaDyAu2", "functional": "PBE", "state": "optimized geometry", "delta_e_f_ev_per_atom": -0.84, "lattice": [[-1.4372, 1.6778, -4.2120], [-5.3092, -2.5002, 0.8157], [-5.3781, 1.0499, 2.2533]], "species": ["Au", "Au", "Dy", "La"], "fractional_positions": [[0.5000, 0.0890, 0.0890], [0.0000, 0.9125, 0.9125], [0.0000, 0.6374, 0.6374], [0.5000, 0.3612, 0.3612]]}

***

[12]
{"formula": "BaNbPt2", "functional": "PBE", "state": "optimized geometry", "energy_ha_per_atom": -0.21244, "lattice": [[0.0000, 3.4163, 3.4163], [3.4163, 0.0000, 3.4163], [3.4163, 3.4163, 0.0000]], "species": ["Ba", "Nb", "Pt", "Pt"], "fractional_positions": [[0.0000, 0.0000, 0.0000], [0.2500, 0.2500, 0.2500], [0.5000, 0.5000, 0.5000], [0.7500, 0.7500, 0.7500]]}